Rb2AcW3O12 | PBE+U | optimized geometry

## Properties
The volume comes out at 318.7 Å³/f.u. The calculated total energy is -6.99 eV/atom. Its density of states at the Fermi level is 10.02 states/eV/f.u. The density is 5.9 Mg/m³. The space-group type is R-3m. The spin magnetization is 0.82 μB per formula unit.

a b c (Å): 7.747 7.747 7.747
angles (deg): 58.66 58.66 58.66
Element x y z (fractional)
Rb (0.632, 0.632, 0.632)
Rb (0.368, 0.368, 0.368)
Ac (0.000, 0.000, 0.000)
W (0.500, 0.000, 0.000)
W (0.000, 0.500, 0.000)
W (0.000, 0.000, 0.500)
O (0.289, 0.289, 0.926)
O (0.905, 0.905, 0.392)
O (0.392, 0.905, 0.905)
O (0.926, 0.289, 0.289)
O (0.905, 0.392, 0.905)
O (0.289, 0.926, 0.289)
O (0.711, 0.711, 0.074)
O (0.095, 0.095, 0.608)
O (0.608, 0.095, 0.095)
O (0.074, 0.711, 0.711)
O (0.095, 0.608, 0.095)
O (0.711, 0.074, 0.711)